(1)
Tc2IrPt PBE-GGA relaxed; DFT total energy = -0.3328 hartree per atom; DOS at the Fermi energy = 4.2 states/eV/f.u.; energy of formation from the pure elements = -0.15 eV/atom
1.0
-1.359 -1.972 1.282
1.914 -0.065 1.927
-4.011 5.475 4.169
Pt Tc Ir
1 2 1
direct
0.500 0.500 0.750
0.000 0.000 0.494
0.000 0.000 0.006
0.500 0.500 0.250



(2)
TcIrPt2 PBE-GGA relaxed; DFT total energy = -0.2874 hartree per atom; DOS at the Fermi energy = 6.6 states/eV/f.u.; energy of formation from the pure elements = 0.01 eV/atom
1.0
3.905 0.000 0.000
0.000 3.905 0.000
0.000 0.000 3.941
Pt Ir Tc
2 1 1
direct
0.500 0.500 0.000
0.000 0.000 0.000
0.000 0.500 0.500
0.500 0.000 0.500



(3)
Tc2IrPt PBE-GGA relaxed; DFT total energy = -0.3303 hartree per atom; DOS at the Fermi energy = 3.4 states/eV/f.u.; energy of formation from the pure elements = -0.08 eV/atom
1.0
9.110 -0.022 -0.013
8.700 2.702 -0.013
8.700 1.309 2.364
Pt Tc Ir
1 2 1
direct
0.750 0.750 0.750
0.998 0.998 0.998
0.502 0.502 0.502
0.250 0.250 0.250



(4)
TcIrPt2 PBE-GGA relaxed; DFT total energy = -0.2890 hartree per atom; DOS at the Fermi energy = 5.2 states/eV/f.u.; energy of formation from the pure elements = -0.04 eV/atom
1.0
-0.550 2.388 -4.165
3.472 -1.213 -3.136
-3.038 -2.624 2.692
Tc Pt Ir
1 2 1
direct
0.750 0.250 0.500
0.000 0.000 0.000
0.500 0.500 0.000
0.250 0.750 0.500



(5)
Tc2IrPt PBE-GGA relaxed; DFT total energy = -0.3320 hartree per atom; DOS at the Fermi energy = 3.5 states/eV/f.u.; energy of formation from the pure elements = -0.13 eV/atom
1.0
4.772 0.000 0.003
3.999 2.604 0.003
0.743 0.221 4.743
Tc Ir Pt
2 1 1
direct
0.003 0.003 0.997
0.751 0.751 0.744
0.494 0.494 0.515
0.252 0.252 0.244



(6)
TcIrPt2 PBE-GGA relaxed; DFT total energy = -0.2677 hartree per atom; DOS at the Fermi energy = 5.2 states/eV/f.u.; energy of formation from the pure elements = 0.54 eV/atom
1.0
7.036 0.000 0.000
0.000 7.036 0.000
3.518 3.518 2.690
Pt Tc Ir
4 2 2
direct
0.375 0.383 0.750
0.617 0.125 0.250
0.133 0.625 0.250
0.875 0.867 0.750
0.250 0.750 0.500
0.500 0.500 0.000
0.750 0.250 0.500
0.000 0.000 0.000



(7)
TcIrPt2 PBE-GGA relaxed; DFT total energy = -0.2924 hartree per atom; DOS at the Fermi energy = 3.7 states/eV/f.u.; energy of formation from the pure elements = -0.13 eV/atom
1.0
3.899 0.000 0.000
0.000 2.764 0.005
0.000 2.753 5.579
Pt Tc Ir
2 1 1
direct
0.500 0.243 0.256
0.000 0.003 0.997
0.000 0.488 0.511
0.500 0.765 0.736



(8)
Tc2IrPt PBE-GGA relaxed; DFT total energy = -0.3320 hartree per atom; DOS at the Fermi energy = 4.1 states/eV/f.u.; energy of formation from the pure elements = -0.13 eV/atom
1.0
-2.011 2.778 -3.380
2.335 -3.723 -1.968
-2.268 -1.489 0.125
Ir Tc Pt
1 2 1
direct
0.500 0.000 0.500
0.000 0.000 0.000
0.500 0.500 0.000
0.000 0.500 0.500



(9)
Tc2IrPt PBE-GGA relaxed; DFT total energy = -0.3322 hartree per atom; DOS at the Fermi energy = 3.3 states/eV/f.u.; energy of formation from the pure elements = -0.13 eV/atom
1.0
4.817 0.001 0.000
1.755 4.486 0.000
-3.286 -2.244 2.715
Pt Ir Tc
1 1 2
direct
0.750 0.250 0.500
0.250 0.750 0.500
0.500 0.500 0.000
0.000 0.000 0.000



(10)
Tc2IrPt PBE-GGA relaxed; DFT total energy = -0.3123 hartree per atom; DOS at the Fermi energy = 9.7 states/eV/f.u.; energy of formation from the pure elements = 0.41 eV/atom
1.0
0.000 3.121 3.121
3.121 0.000 3.121
3.121 3.121 0.000
Ir Pt Tc
1 1 2
direct
0.000 0.000 0.000
0.500 0.500 0.500
0.750 0.750 0.750
0.250 0.250 0.250



(11)
Tc2IrPt PBE-GGA relaxed; DFT total energy = -0.3314 hartree per atom; DOS at the Fermi energy = 3.6 states/eV/f.u.; energy of formation from the pure elements = -0.11 eV/atom
1.0
-1.736 2.107 0.056
-0.985 -0.875 2.392
5.411 4.358 3.821
Tc Pt Ir
2 1 1
direct
0.500 0.500 0.255
0.000 0.000 0.003
0.500 0.500 0.755
0.000 0.000 0.488



(12)
TcIr3Pt PBE-GGA relaxed; DFT total energy = -0.2804 hartree per atom; DOS at the Fermi energy = 8.3 states/eV/f.u.; energy of formation from the pure elements = 0.97 eV/atom
1.0
-1.160 -4.789 -1.753
3.834 -3.388 -1.081
0.751 -4.193 3.157
Tc Ir Pt
1 3 1
direct
0.475 0.475 0.575
0.975 0.975 0.575
0.475 0.975 0.575
0.975 0.475 0.575
0.975 0.975 0.075



(13)
Tc2IrPt PBE-GGA relaxed; DFT total energy = -0.3330 hartree per atom; DOS at the Fermi energy = 3.8 states/eV/f.u.; energy of formation from the pure elements = -0.15 eV/atom
1.0
2.738 0.000 -0.003
0.000 2.738 0.000
0.019 0.000 15.753
Ir Tc Pt
2 4 2
direct
0.250 0.250 0.187
0.750 0.750 0.813
0.750 0.750 0.059
0.250 0.250 0.694
0.250 0.250 0.941
0.750 0.750 0.306
0.750 0.750 0.569
0.250 0.250 0.431



(14)
TcIrPt2 PBE-GGA relaxed; DFT total energy = -0.2890 hartree per atom; DOS at the Fermi energy = 4.1 states/eV/f.u.; energy of formation from the pure elements = -0.04 eV/atom
1.0
2.752 0.000 0.000
0.000 2.752 0.000
0.000 0.000 7.924
Tc Pt Ir
1 2 1
direct
0.500 0.500 0.250
0.000 0.000 0.006
0.000 0.000 0.494
0.500 0.500 0.750



(15)
TcIrPt2 PBE-GGA relaxed; DFT total energy = -0.2927 hartree per atom; DOS at the Fermi energy = 4.7 states/eV/f.u.; energy of formation from the pure elements = -0.14 eV/atom
1.0
-4.281 5.185 6.364
-6.469 3.764 5.449
-4.848 2.691 7.414
Tc Pt Ir
1 2 1
direct
0.497 0.497 0.497
0.001 0.001 0.001
0.247 0.247 0.247
0.755 0.755 0.755



(16)
Tc2IrPt PBE-GGA relaxed; DFT total energy = -0.3165 hartree per atom; DOS at the Fermi energy = 4.1 states/eV/f.u.; energy of formation from the pure elements = 0.29 eV/atom
1.0
4.405 0.000 0.000
2.203 3.815 0.000
2.203 1.272 3.597
Tc Ir Pt
2 1 1
direct
0.000 0.000 0.000
0.250 0.250 0.250
0.500 0.500 0.500
0.750 0.750 0.750



(17)
TcIrPt2 PBE-GGA relaxed; DFT total energy = -0.2769 hartree per atom; DOS at the Fermi energy = 4.8 states/eV/f.u.; energy of formation from the pure elements = 0.29 eV/atom
1.0
2.373 -1.217 3.544
1.339 3.051 2.927
-1.819 0.144 4.042
Ir Pt Tc
1 2 1
direct
0.500 0.500 0.500
0.250 0.250 0.250
0.750 0.750 0.750
0.000 0.000 0.000



(18)
Tc2IrPt PBE-GGA relaxed; DFT total energy = -0.2925 hartree per atom; DOS at the Fermi energy = 4.7 states/eV/f.u.; energy of formation from the pure elements = 0.95 eV/atom
1.0
5.639 0.000 0.000
0.000 5.639 0.000
2.820 2.820 5.506
Tc Pt Ir
4 2 2
direct
0.875 0.867 0.750
0.617 0.125 0.250
0.375 0.383 0.750
0.133 0.625 0.250
0.000 0.000 0.000
0.750 0.250 0.500
0.500 0.500 0.000
0.250 0.750 0.500



(19)
Tc2IrPt PBE-GGA relaxed; DFT total energy = -0.3301 hartree per atom; DOS at the Fermi energy = 4.1 states/eV/f.u.; energy of formation from the pure elements = -0.08 eV/atom
1.0
4.801 -0.002 0.003
4.018 2.628 0.003
0.779 0.232 4.668
Pt Tc Ir
1 2 1
direct
0.250 0.250 0.250
0.497 0.497 0.509
0.003 0.003 0.991
0.750 0.750 0.750



(20)
TcIr2Pt2 PBE-GGA relaxed; DFT total energy = -0.2813 hartree per atom; DOS at the Fermi energy = 7.3 states/eV/f.u.; energy of formation from the pure elements = 0.38 eV/atom
1.0
-2.362 -6.174 0.940
0.091 -1.039 -6.595
3.385 -1.258 0.245
Tc Ir Pt
2 4 4
direct
0.000 0.000 0.000
0.500 0.500 0.000
0.632 0.132 0.000
0.368 0.868 0.000
0.868 0.632 0.000
0.132 0.368 0.000
0.167 0.667 0.500
0.333 0.167 0.500
0.667 0.833 0.500
0.833 0.333 0.500